A) The following is a DFT calculation (PBE-GGA) of an optimized crystal structure of NaTiAl.

Results
Its space group is Pm (6).

Cell: 9.6775 4.6300 2.9449 Å, 90.00 89.38 90.00°
Last column: nearest neighbours and their distance in Å.
Positions (direct):
Na  0.3318  0.0000  0.1603  2 Na 2.94, 2 Al 3.22-3.25, 2 Ti 3.24
Na  0.1069  0.5000  0.6647  2 Na 2.94, 1 Ti 3.00
Al  0.6293  0.0000  0.6370  4 Al 2.81-2.94, 6 Ti 2.81-2.83
Al  0.8764  0.0000  0.1285  4 Al 2.81-2.94, 4 Ti 2.85
Ti  0.7971  0.5000  0.6288  4 Ti 2.68-2.94, 6 Al 2.83-2.85, 1 Na 3.00
Ti  0.5653  0.5000  0.1378  4 Ti 2.68-2.94, 4 Al 2.81

B) The following is a DFT calculation (PBE-GGA) of an optimized crystal structure of NaTiAl.

Results
Its space group is P1 (1).

Cell: 5.3208 2.9093 8.1396 Å, 90.10 97.97 74.21°
Last column: nearest neighbours and their distance in Å.
Positions (direct):
Na  0.1383  0.1354  0.1228  3 Na 2.78-2.91, 2 Ti 3.10-3.12
Na  0.2236  0.0827  0.4681  3 Na 2.78-2.91, 3 Al 2.94-3.03, 2 Ti 3.03-3.04
Al  0.7227  0.8352  0.3287  3 Al 2.91-3.13, 6 Na 2.94-3.25, 2 Ti 3.05
Al  0.6388  0.8797  0.9399  4 Ti 2.81-2.92, 3 Al 2.91-3.13, 3 Na 3.12-3.14
Ti  0.1721  0.6123  0.7888  4 Ti 2.77-2.91, 2 Al 2.91-2.92, 2 Na 3.03-3.04
Ti  0.7306  0.3322  0.6585  4 Ti 2.77-2.91, 4 Al 2.81-3.05

C) The following is a DFT calculation (PBE-GGA) of an optimized crystal structure of NaTiAl.

Results
Its space group is F-43m (216).

Cell: 4.6672 4.6672 4.6672 Å, 60.00 60.00 60.00°
Last column: nearest neighbours and their distance in Å.
Positions (direct):
Na  0.2500  0.2500  0.2500  4 Al 2.86
Al  0.0000  0.0000  0.0000  4 Ti 2.86, 4 Na 2.86
Ti  0.7500  0.7500  0.7500  4 Al 2.86

Short version: A), B), C), most stable first.

A) The following is a DFT calculation (PBE-GGA) of an optimized crystal structure of Fe2CoNi.

Results
Its space group is C2/m (12).

Cell: 4.7208 4.7208 2.4497 Å, 79.44 79.44 116.66°
Last column: nearest neighbours and their distance in Å.
Positions (direct):
Ni  0.5000  0.0000  0.5000  2 Ni 2.45, 4 Fe 2.45, 2 Co 2.48
Co  0.0000  0.5000  0.5000  2 Co 2.45, 4 Fe 2.45, 2 Ni 2.48
Fe  0.0000  0.0000  0.0000  4 Fe 2.45-2.48, 2 Ni 2.45, 2 Co 2.45
Fe  0.5000  0.5000  0.0000  4 Fe 2.45-2.48, 2 Co 2.45, 2 Ni 2.45

B) The following is a DFT calculation (PBE-GGA) of an optimized crystal structure of Fe2CoNi.

Results
Its space group is Pnma (62).

Cell: 4.1050 4.9349 9.1002 Å, 90.00 90.00 90.00°
Last column: nearest neighbours and their distance in Å.
Positions (direct):
Fe  0.2500  0.4775  0.3182  4 Co 2.42-2.68, 4 Ni 2.43-2.48, 3 Fe 2.49-2.67
Fe  0.7500  0.5225  0.6818  4 Co 2.42-2.68, 4 Ni 2.43-2.48, 3 Fe 2.49-2.67
Fe  0.7500  0.9775  0.1818  4 Co 2.42-2.68, 4 Ni 2.43-2.48, 3 Fe 2.49-2.67
Fe  0.2500  0.0225  0.8182  4 Co 2.42-2.68, 4 Ni 2.43-2.48, 3 Fe 2.49-2.67
Fe  0.2500  0.6965  0.0721  4 Ni 2.40-2.68, 4 Co 2.45-2.49, 3 Fe 2.49-2.67
Fe  0.2500  0.8035  0.5721  4 Ni 2.40-2.68, 4 Co 2.45-2.49, 3 Fe 2.49-2.67
Fe  0.7500  0.1965  0.4279  4 Ni 2.40-2.68, 4 Co 2.45-2.49, 3 Fe 2.49-2.67
Fe  0.7500  0.3035  0.9279  4 Ni 2.40-2.68, 4 Co 2.45-2.49, 3 Fe 2.49-2.67
Co  0.2500  0.3081  0.5678  8 Fe 2.42-2.68, 3 Ni 2.57-2.67
Co  0.7500  0.8081  0.9322  8 Fe 2.42-2.68, 3 Ni 2.57-2.67
Co  0.7500  0.6919  0.4322  8 Fe 2.42-2.68, 3 Ni 2.57-2.67
Co  0.2500  0.1919  0.0678  8 Fe 2.42-2.68, 3 Ni 2.57-2.67
Ni  0.7500  0.4745  0.1751  8 Fe 2.40-2.68, 3 Co 2.57-2.67
Ni  0.2500  0.5255  0.8249  8 Fe 2.40-2.68, 3 Co 2.57-2.67
Ni  0.2500  0.9745  0.3249  8 Fe 2.40-2.68, 3 Co 2.57-2.67
Ni  0.7500  0.0255  0.6751  8 Fe 2.40-2.68, 3 Co 2.57-2.67

Short version: B), A), most stable first.